TlPdBr3 (SCAN, PBEsol geometry); E_tot = -166.40 eV/f.u.; size of the total moment = 0.00 μB/f.u.; SG = Pm-3m (221); Fermi-level density of states = 1.2 states/eV per cell; V = 26.54 Å³/atom
1.0
5.101 0.000 0.000
0.000 5.101 0.000
0.000 0.000 5.101
Tl Pd Br
1 1 3
Cartesian
0.000 0.000 0.000
2.550 2.550 2.550
0.000 2.550 2.550
2.550 0.000 2.550
2.550 2.550 0.000

Rb2TlCuBr6 (SCAN, PBEsol geometry); E_tot = -256.67 eV/f.u.; size of the total moment = 0.00 μB/f.u.; SG = Fm-3m (225); Fermi-level density of states = 3.1 states/eV per cell; V = 30.75 Å³/atom
1.0
0.000 5.357 5.357
5.357 0.000 5.357
5.357 5.357 0.000
Rb Tl Cu Br
2 1 1 6
Cartesian
2.679 2.679 2.679
8.036 8.036 8.036
0.000 0.000 0.000
5.357 5.357 5.357
5.357 5.357 2.823
5.357 2.823 5.357
7.891 5.357 5.357
2.823 5.357 5.357
5.357 7.891 5.357
5.357 5.357 7.891

Be2HgBr (SCAN, PBEsol geometry); energy above the most stable polymorph in this dataset = 0.00 eV/f.u.; E_tot = -94.49 eV/f.u.; size of the total moment = 0.00 μB/f.u.; SG = Cmmm (65); Fermi-level density of states = 1.1 states/eV per cell; V = 17.93 Å³/atom
1.0
1.569 -3.043 0.000
1.569 3.043 0.000
0.000 0.000 7.512
Be Hg Br
2 1 1
Cartesian
0.000 0.000 1.870
0.000 0.000 5.641
1.569 0.000 0.000
1.569 0.000 3.756

MgZrFe2 (SCAN, PBEsol geometry); E_tot = -71.15 eV/f.u.; size of the total moment = 4.86 μB/f.u.; SG = F-43m (216); formation energy = 0.19 eV per atom; Fermi-level density of states = 4.5 states/eV per cell; V = 15.24 Å³/atom
1.0
0.000 3.124 3.124
3.124 0.000 3.124
3.124 3.124 0.000
Mg Zr Fe
1 1 2
Cartesian
0.000 0.000 0.000
1.562 1.562 1.562
3.124 3.124 3.124
4.686 4.686 4.686

Look up the size of the total moment of the third one. 0.00 μB/f.u.

Which of these has the lowest E_tot? Rb2TlCuBr6

What did the fourth record say?
MgZrFe2 (SCAN, PBEsol geometry); E_tot = -71.15 eV/f.u.; size of the total moment = 4.86 μB/f.u.; SG = F-43m (216); formation energy = 0.19 eV per atom; Fermi-level density of states = 4.5 states/eV per cell; V = 15.24 Å³/atom
1.0
0.000 3.124 3.124
3.124 0.000 3.124
3.124 3.124 0.000
Mg Zr Fe
1 1 2
Cartesian
0.000 0.000 0.000
1.562 1.562 1.562
3.124 3.124 3.124
4.686 4.686 4.686